Entry 1:
The following is a GGA-PBE calculation of a relaxed structure of YTc2Se, from Alexandria.

E_form (uncorrected)   0.37 eV per atom
VASP energy   -29.20 eV per cell

Cell: 8.296 8.296 8.296 Å, 22.79 22.79 22.79°
Positions (direct):
Tc1 0.013 0.013 0.013
Tc2 0.487 0.487 0.487
Se1 0.750 0.750 0.750
Y1 0.250 0.250 0.250

---

Entry 2:
The following is a GGA-PBE calculation of a relaxed structure of YTc3Se, from Alexandria.

E_form (uncorrected)   2.43 eV per atom
VASP energy   -28.92 eV per cell

Cell: 4.910 4.910 4.910 Å, 90.00 90.00 90.00°
Positions (direct):
Tc1 0.500 0.000 0.000
Tc2 0.000 0.500 0.000
Tc3 0.000 0.000 0.500
Y1 0.000 0.000 0.000
Se1 0.500 0.500 0.500

---

Entry 3:
The following is a GGA-PBE calculation of a relaxed structure of Y3TcSe, from Alexandria.

E_form (uncorrected)   -0.06 eV per atom
VASP energy   -33.53 eV per cell

Cell: 5.311 5.311 5.311 Å, 90.00 90.00 90.00°
Positions (direct):
Y1 0.000 0.000 0.500
Y2 0.000 0.500 0.000
Y3 0.500 0.000 0.000
Tc1 0.000 0.000 0.000
Se1 0.500 0.500 0.500

---

Entry 4:
The following is a GGA-PBE calculation of a relaxed structure of YTcSe, from Alexandria.

E_form (uncorrected)   -0.34 eV per atom
VASP energy   -21.33 eV per cell

Cell: 3.917 3.917 4.938 Å, 90.00 90.00 120.00°
Positions (direct):
Tc1 0.667 0.333 0.226
Y1 0.333 0.667 0.709
Se1 0.000 0.000 0.065